Computed, not measured: an optimized crystal structure of Ho3CrO6 at the PBE+U level of DFT.

Output
- SG = No. 36
- offset from the most stable computed form (meV per atom) = 102

abc: 5.4631 7.0169 7.0169
angles: 101.33 90.00 90.00
Last column: magnetic moment on the atom in μB.
Fractional positions:
O1 0.6580 0.6048 0.0975  -0.02
O2 0.1947 0.6730 0.6463  0.00
O3 0.1947 0.3537 0.3270  0.00
O4 0.1582 0.7773 0.2227  -0.02
O5 0.6947 0.6463 0.6730  0.00
O6 0.7756 0.9861 0.0139  -0.03
O7 0.6582 0.2227 0.7773  -0.02
O8 0.2756 0.0139 0.9861  -0.03
O9 0.1580 0.3952 0.9025  -0.02
O10 0.6947 0.3270 0.3537  0.00
O11 0.6580 0.9025 0.3952  -0.02
O12 0.1580 0.0975 0.6048  -0.02
Ho1 0.4716 0.3199 0.0873  0.01
Ho2 0.9716 0.0873 0.3199  0.01
Ho3 0.9196 0.6033 0.3967  0.01
Ho4 0.9716 0.6801 0.9127  0.01
Ho5 0.4196 0.3967 0.6033  0.01
Ho6 0.4716 0.9127 0.6801  0.01
Cr1 0.9833 0.1472 0.8528  2.96
Cr2 0.4833 0.8528 0.1472  2.96

Computed, not measured: an optimized crystal structure of Ho2Cr2O7 at the PBE+U level of DFT.

Output
- E (eV per atom) = -7.86
- SG = No. 227

abc: 7.0966 7.0966 7.0966
angles: 60.00 60.00 60.00
Last column: magnetic moment on the atom in μB.
Fractional positions:
O1 0.4556 0.0444 0.0444  -0.13
O2 0.7944 0.7944 0.2056  -0.13
O3 0.7944 0.2056 0.2056  -0.13
O4 0.7944 0.2056 0.7944  -0.13
O5 0.0444 0.0444 0.4556  -0.13
O6 0.4556 0.0444 0.4556  -0.13
O7 0.2056 0.2056 0.7944  -0.13
O8 0.4556 0.4556 0.0444  -0.13
O9 0.2056 0.7944 0.7944  -0.13
O10 0.2056 0.7944 0.2056  -0.13
O11 0.5000 0.5000 0.5000  -0.01
O12 0.7500 0.7500 0.7500  -0.01
O13 0.0444 0.4556 0.4556  -0.13
O14 0.0444 0.4556 0.0444  -0.13
Ho1 0.6250 0.6250 0.6250  0.00
Ho2 0.6250 0.1250 0.6250  0.00
Ho3 0.1250 0.6250 0.6250  0.00
Ho4 0.6250 0.6250 0.1250  0.00
Cr1 0.1250 0.1250 0.1250  2.40
Cr2 0.1250 0.6250 0.1250  2.40
Cr3 0.1250 0.1250 0.6250  2.40
Cr4 0.6250 0.1250 0.1250  2.40

Computed, not measured: an optimized crystal structure of Ho4Cr6O19 at the PBE+U level of DFT.

Output
- E (eV per atom) = -7.57
- SG = No. 197

abc: 7.4262 7.4262 7.4262
angles: 109.47 109.47 109.47
Last column: magnetic moment on the atom in μB.
Fractional positions:
Cr1 0.6642 0.5000 0.1642  2.08
Cr2 0.8358 0.3358 0.5000  2.08
Cr3 0.1642 0.6642 0.5000  2.08
Cr4 0.5000 0.8358 0.3358  2.08
Cr5 0.5000 0.1642 0.6642  2.08
Cr6 0.3358 0.5000 0.8358  2.08
O1 0.9711 0.7283 0.3264  -0.12
O2 0.0000 0.3496 0.3496  -0.15
O3 0.6736 0.4019 0.6448  -0.12
O4 0.6504 0.6504 0.0000  -0.15
O5 0.2717 0.2429 0.5981  -0.12
O6 0.0000 0.6504 0.6504  -0.15
O7 0.3496 0.0000 0.3496  -0.15
O8 0.3552 0.7571 0.0289  -0.12
O9 0.0289 0.3552 0.7571  -0.12
O10 0.0000 0.0000 0.0000  0.00
O11 0.7571 0.0289 0.3552  -0.12
O12 0.4019 0.6448 0.6736  -0.12
O13 0.3264 0.9711 0.7283  -0.12
O14 0.7283 0.3264 0.9711  -0.12
O15 0.5981 0.2717 0.2429  -0.12
O16 0.3496 0.3496 0.0000  -0.15
O17 0.2429 0.5981 0.2717  -0.12
O18 0.6504 0.0000 0.6504  -0.15
O19 0.6448 0.6736 0.4019  -0.12
Ho1 0.0000 0.0000 0.6805  0.01
Ho2 0.0000 0.6805 0.0000  0.01
Ho3 0.3195 0.3195 0.3195  0.01
Ho4 0.6805 0.0000 0.0000  0.01

Computed, not measured: an optimized crystal structure of Ho3CrO7 at the PBE+U level of DFT.

Output
- E (eV per atom) = -7.96
- SG = No. 20

abc: 6.3725 6.3725 7.2610
angles: 90.00 90.00 108.10
Last column: magnetic moment on the atom in μB.
Fractional positions:
O1 0.0428 0.2936 0.9565  -0.08
O2 0.0757 0.3199 0.5230  -0.04
O3 0.3199 0.0757 0.4770  -0.04
O4 0.6801 0.9243 0.9770  -0.04
O5 0.7064 0.9572 0.5435  -0.08
O6 0.2936 0.0428 0.0435  -0.08
O7 0.9243 0.6801 0.0230  -0.04
O8 0.9572 0.7064 0.4565  -0.08
O9 0.3699 0.6301 0.2500  -0.01
O10 0.9368 0.0632 0.2500  -0.06
O11 0.3612 0.6388 0.7500  -0.02
O12 0.6388 0.3612 0.2500  -0.02
O13 0.6301 0.3699 0.7500  -0.01
O14 0.0632 0.9368 0.7500  -0.06
Ho1 0.4590 0.0019 0.7603  0.01
Ho2 0.9981 0.5410 0.7397  0.01
Ho3 0.4517 0.4517 0.5000  0.00
Ho4 0.0019 0.4590 0.2397  0.01
Ho5 0.5483 0.5483 0.0000  0.00
Ho6 0.5410 0.9981 0.2603  0.01
Cr1 0.0063 0.0063 0.0000  1.33
Cr2 0.9937 0.9937 0.5000  1.33

Computed, not measured: an optimized crystal structure of HoCrO2 at the PBE+U level of DFT.

Output
- SG = No. 141
- offset from the most stable computed form (meV per atom) = 310

abc: 7.2653 7.2653 7.2653
angles: 130.35 130.35 72.85
Last column: magnetic moment on the atom in μB.
Fractional positions:
Ho1 0.3750 0.6250 0.2500  -0.13
Ho2 0.3750 0.1250 0.7500  -0.13
Ho3 0.8750 0.6250 0.2500  -0.13
Ho4 0.3750 0.6250 0.7500  -0.13
O1 0.1477 0.4231 0.7246  -0.03
O2 0.0515 0.8269 0.2246  -0.03
O3 0.1731 0.3977 0.2246  -0.03
O4 0.5769 0.3015 0.7246  -0.03
O5 0.1731 0.9485 0.7754  -0.03
O6 0.6985 0.4231 0.2754  -0.03
O7 0.6023 0.8269 0.7754  -0.03
O8 0.5769 0.8523 0.2754  -0.03
Cr1 0.3750 0.1250 0.2500  3.49
Cr2 0.8750 0.1250 0.7500  3.49
Cr3 0.8750 0.1250 0.2500  3.49
Cr4 0.8750 0.6250 0.7500  3.49

Computed, not measured: an optimized crystal structure of HoCrO2 at the PBE+U level of DFT.

Output
- SG = No. 166
- offset from the most stable computed form (meV per atom) = 0

abc: 3.4965 3.4965 6.4634
angles: 74.31 74.31 60.00
Last column: magnetic moment on the atom in μB.
Fractional positions:
O1 0.1087 0.1087 0.6740  0.01
O2 0.8913 0.8913 0.3260  0.01
Ho1 0.5000 0.5000 0.5000  0.02
Cr1 0.0000 0.0000 0.0000  3.91

Computed, not measured: an optimized crystal structure of Ho12Cr3O5 at the PBE+U level of DFT.

Output
- E (eV per atom) = -6.40
- SG = No. 230

abc: 13.3390 13.3390 13.3390
angles: 109.47 109.47 109.47
Last column: magnetic moment on the atom in μB.
Fractional positions:
Ho1 0.1878 0.0908 0.6980  -0.19
Ho2 0.1072 0.4092 0.0970  -0.19
Ho3 0.0970 0.9092 0.1072  -0.19
Ho4 0.1980 0.6878 0.0908  -0.19
Ho5 0.3020 0.4092 0.8122  -0.19
Ho6 0.9092 0.8122 0.8020  -0.19
Ho7 0.6878 0.4897 0.5970  -0.19
Ho8 0.5103 0.1980 0.1072  -0.19
Ho9 0.6072 0.5970 0.9092  -0.19
Ho10 0.1980 0.5103 0.6072  -0.19
Ho11 0.6072 0.0103 0.1980  -0.19
Ho12 0.6980 0.5908 0.1878  -0.19
Ho13 0.3020 0.8928 0.9897  -0.19
Ho14 0.0970 0.1878 0.4897  -0.19
Ho15 0.5103 0.3122 0.9030  -0.19
Ho16 0.4897 0.6878 0.0970  -0.19
Ho17 0.8122 0.9092 0.3020  -0.19
Ho18 0.1878 0.0970 0.9897  -0.19
Ho19 0.5970 0.9897 0.6878  -0.19
Ho20 0.8122 0.9030 0.0103  -0.19
Ho21 0.9030 0.8122 0.5103  -0.19
Ho22 0.4897 0.8020 0.8928  -0.19
Ho23 0.3928 0.4030 0.0908  -0.19
Ho24 0.4092 0.3020 0.3122  -0.19
Ho25 0.9897 0.5970 0.1878  -0.19
Ho26 0.9897 0.3928 0.3020  -0.19
Ho27 0.9092 0.0970 0.6072  -0.19
Ho28 0.6980 0.1072 0.0103  -0.19
Ho29 0.8020 0.4897 0.3928  -0.19
Ho30 0.8928 0.5908 0.9030  -0.19
Ho31 0.0908 0.1878 0.1980  -0.19
Ho32 0.0908 0.9030 0.3928  -0.19
Ho33 0.5970 0.6072 0.4092  -0.19
Ho34 0.0103 0.4030 0.8122  -0.19
Ho35 0.8020 0.3122 0.9092  -0.19
Ho36 0.3122 0.5103 0.4030  -0.19
Ho37 0.4030 0.3928 0.5908  -0.19
Ho38 0.5908 0.8928 0.4030  -0.19
Ho39 0.6878 0.1980 0.5908  -0.19
Ho40 0.3928 0.9897 0.8020  -0.19
Ho41 0.0103 0.6072 0.6980  -0.19
Ho42 0.4092 0.1072 0.5970  -0.19
Ho43 0.9030 0.0908 0.8928  -0.19
Ho44 0.8928 0.3020 0.4897  -0.19
Ho45 0.3122 0.8020 0.4092  -0.19
Ho46 0.4030 0.0103 0.3122  -0.19
Ho47 0.1072 0.6980 0.5103  -0.19
Ho48 0.5908 0.6980 0.6878  -0.19
O1 0.5000 0.5000 0.5000  -0.01
O2 0.0000 0.0000 0.0000  -0.01
O3 0.2500 0.8750 0.1250  -0.01
O4 0.3750 0.1250 0.7500  -0.01
O5 0.8750 0.2500 0.6250  -0.01
O6 0.1250 0.3750 0.2500  -0.01
O7 0.0000 0.0000 0.5000  -0.01
O8 0.5000 0.5000 0.0000  -0.01
O9 0.5000 0.0000 0.0000  -0.01
O10 0.5000 0.0000 0.5000  -0.01
O11 0.1250 0.7500 0.3750  -0.01
O12 0.7500 0.1250 0.8750  -0.01
O13 0.6250 0.7500 0.8750  -0.01
O14 0.2500 0.3750 0.6250  -0.01
O15 0.0000 0.5000 0.5000  -0.01
O16 0.8750 0.6250 0.7500  -0.01
O17 0.7500 0.6250 0.3750  -0.01
O18 0.0000 0.5000 0.0000  -0.01
O19 0.3750 0.2500 0.1250  -0.01
O20 0.6250 0.8750 0.2500  -0.01
Cr1 0.1250 0.8750 0.7500  4.10
Cr2 0.8750 0.1250 0.2500  4.10
Cr3 0.2500 0.1250 0.3750  4.10
Cr4 0.7500 0.3750 0.1250  4.10
Cr5 0.8750 0.7500 0.1250  4.10
Cr6 0.1250 0.2500 0.8750  4.10
Cr7 0.7500 0.8750 0.6250  4.10
Cr8 0.3750 0.7500 0.6250  4.10
Cr9 0.6250 0.2500 0.3750  4.10
Cr10 0.3750 0.6250 0.2500  4.10
Cr11 0.2500 0.6250 0.8750  4.10
Cr12 0.6250 0.3750 0.7500  4.10

Computed, not measured: an optimized crystal structure of HoCr2O2 at the PBE+U level of DFT.

Output
- E (eV per atom) = -6.78
- SG = No. 141

abc: 7.9103 7.9103 7.9103
angles: 110.99 110.99 106.47
Last column: magnetic moment on the atom in μB.
Fractional positions:
O1 0.5731 0.9194 0.6537  -0.02
O2 0.2658 0.9194 0.3463  -0.02
O3 0.6694 0.8231 0.1537  -0.02
O4 0.0806 0.4269 0.3463  -0.02
O5 0.1769 0.3306 0.8463  -0.02
O6 0.6694 0.5158 0.8463  -0.02
O7 0.4842 0.3306 0.1537  -0.02
O8 0.0806 0.7342 0.6537  -0.02
Cr1 0.5162 0.2076 0.6913  4.11
Cr2 0.2338 0.0424 0.8087  4.11
Cr3 0.1751 0.4838 0.6913  4.11
Cr4 0.2338 0.4251 0.1913  4.11
Cr5 0.7924 0.4838 0.3087  4.11
Cr6 0.5162 0.8249 0.3087  4.11
Cr7 0.5749 0.7662 0.8087  4.11
Cr8 0.9576 0.7662 0.1913  4.11
Ho1 0.3750 0.1250 0.2500  0.13
Ho2 0.8750 0.6250 0.7500  0.13
Ho3 0.8750 0.1250 0.7500  0.13
Ho4 0.8750 0.1250 0.2500  0.13